First-principles (GGA-PBEsol) data for crystalline FeTc2Ru at its relaxed geometry, as listed in Alexandria.

**D(E_F)**: 4.1 states/eV per cell
**Energy relative to the elements**: 0.275 eV per formula unit
**Symmetry**: I4/mmm, No. 139
**Volume**: 12.855 Å³ per atom
**Raw total energy**: -41.4 eV for the cell shown

Lattice parameters (Å, degrees): 4.554 4.554 4.554 131.81 131.81 70.53
Element x y z (fractional)
Fe 0.000 0.000 0.000
Tc 0.250 0.750 0.500
Tc 0.750 0.250 0.500
Ru 0.500 0.500 0.000

---

First-principles (GGA-PBEsol) data for crystalline Be4NbMo at its relaxed geometry, as listed in Alexandria.

**D(E_F)**: 5.6 states/eV per cell
**Energy relative to the elements**: -1.486 eV per formula unit
**Symmetry**: P-3m1, No. 164
**Volume**: 10.794 Å³ per atom
**Raw total energy**: -80.2 eV for the cell shown

Lattice parameters (Å, degrees): 4.505 4.505 7.368 90.00 90.00 120.00
Element x y z (fractional)
Be 0.000 0.000 0.000
Be 0.000 0.000 0.500
Be 0.171 0.341 0.244
Be 0.171 0.829 0.244
Be 0.341 0.171 0.756
Be 0.659 0.829 0.244
Be 0.829 0.171 0.756
Be 0.829 0.659 0.756
Nb 0.333 0.667 0.569
Nb 0.667 0.333 0.431
Mo 0.333 0.667 0.940
Mo 0.667 0.333 0.060

---

First-principles (GGA-PBEsol) data for crystalline HoTmTl2 at its relaxed geometry, as listed in Alexandria.

**D(E_F)**: 3.6 states/eV per cell
**Energy relative to the elements**: -1.555 eV per formula unit
**Symmetry**: Fm-3m, No. 225
**Volume**: 25.221 Å³ per atom
**Raw total energy**: -16.7 eV for the cell shown

Lattice parameters (Å, degrees): 5.225 5.225 5.225 60.00 60.00 60.00
Element x y z (fractional)
Ho 0.000 0.000 0.000
Tm 0.500 0.500 0.500
Tl 0.250 0.250 0.250
Tl 0.750 0.750 0.750

---

> Which of these has the lowest D(E_F)?

HoTmTl2

---

> What is the volume in the second record?

10.794 Å³ per atom

---

> Which of these has the lowest D(E_F)?

HoTmTl2